<one>
CaYSCl2 GGA-PBE relaxed; density of states at the Fermi level = 0.66 states/eV/atom
1.0
5.246 0.000 0.000
0.000 5.246 0.000
0.000 0.000 5.305
Ca Y S Cl
1 1 1 2
Cartesian
0.000 0.000 0.000
2.623 2.623 2.653
2.623 2.623 0.000
0.000 2.623 2.653
2.623 0.000 2.653

---

<two>
CaYSCl2 GGA-PBE relaxed; density of states at the Fermi level = 0.74 states/eV/atom
1.0
5.050 0.000 0.000
0.000 5.050 0.000
0.000 0.000 5.487
Ca Y S Cl
1 1 1 2
Cartesian
0.000 0.000 0.000
2.525 2.525 2.744
0.000 0.000 2.744
0.000 2.525 0.000
2.525 0.000 0.000

---

The most stable arrangement is <one>, and the next structure is 270 meV/atom less stable.